# GGA-PBE HfMg3P, relaxed
data_HfMg3P
_cell_length_a 4.872
_cell_length_b 4.872
_cell_length_c 4.872
_cell_angle_alpha 90.00
_cell_angle_beta 90.00
_cell_angle_gamma 90.00
_space_group_name_H-M_alt 'P m -3 m'
_space_group_IT_number 221
_space_group_name_Hall '-P 4 2 3'
loop_
_atom_site_label
_atom_site_type_symbol
_atom_site_fract_x
_atom_site_fract_y
_atom_site_fract_z
Hf1 Hf 0.000 0.000 0.000
Mg1 Mg 0.000 0.500 0.500
P1 P 0.500 0.500 0.500
# * total moment: 0.000 μB per formula unit
# * E above lowest polymorph: 0 meV per atom
# * calculated total energy: -3.662 eV/atom